DFT (PBE) results for an optimized crystal structure of Pm3HoHg2.

- energy above the lowest structure with this stoichiometry (kJ/mol of atoms) = 0.00
- V (Å³/cell) = 352.5
- D(E_F) (states/eV/f.u.) = 3.22
- VASP energy (eV for the cell shown) = -42.9

a b c (Å): 5.253 7.063 9.501
angles (deg): 90.00 90.00 90.00
Atoms (fractional coordinates):
Pm 0.000 0.987 0.053
Pm 0.000 0.822 0.670
Pm 0.500 0.176 0.823
Pm 0.500 0.676 0.177
Pm 0.000 0.322 0.330
Pm 0.000 0.487 0.947
Ho 0.500 0.514 0.553
Ho 0.500 0.014 0.447
Hg 0.000 0.770 0.350
Hg 0.500 0.231 0.152
Hg 0.500 0.731 0.848
Hg 0.000 0.270 0.650

***

DFT (PBE) results for an optimized crystal structure of AcSmSc2.

- energy above the lowest structure with this stoichiometry (kJ/mol of atoms) = 0.25
- V (Å³/cell) = 124.0
- D(E_F) (states/eV/f.u.) = 4.52
- VASP energy (eV for the cell shown) = -21.1

a b c (Å): 4.411 5.302 5.302
angles (deg): 90.00 90.00 90.00
Atoms (fractional coordinates):
Sc 0.000 0.000 0.500
Sc 0.000 0.500 0.000
Ac 0.500 0.500 0.500
Sm 0.500 0.000 0.000

***

DFT (PBE) results for an optimized crystal structure of RbInIF2.

- V (Å³/cell) = 140.0
- D(E_F) (states/eV/f.u.) = 0.83
- VASP energy (eV for the cell shown) = -17.8

a b c (Å): 4.839 4.839 5.979
angles (deg): 90.00 90.00 90.00
Atoms (fractional coordinates):
F 0.500 0.000 0.000
F 0.000 0.500 0.000
I 0.000 0.000 0.500
Rb 0.500 0.500 0.500
In 0.000 0.000 0.000

***

DFT (PBE) results for an optimized crystal structure of Ba6Ge2HI3.

- V (Å³/cell) = 510.7
- D(E_F) (states/eV/f.u.) = 1.30
- VASP energy (eV for the cell shown) = -40.6

a b c (Å): 8.340 8.340 8.918
angles (deg): 98.92 98.92 120.00
Atoms (fractional coordinates):
Ba 0.592 0.931 0.794
Ba 0.271 0.271 0.795
Ba 0.408 0.069 0.206
Ba 0.931 0.592 0.794
Ba 0.069 0.408 0.206
Ba 0.729 0.729 0.205
I 0.836 0.164 0.500
I 0.500 0.500 0.500
I 0.164 0.836 0.500
H 0.000 0.000 0.000
Ge 0.667 0.333 0.000
Ge 0.333 0.667 0.000